# Na2B2AsPd5

Na2B2AsPd5 after structural relaxation (GGA-PBE, the Alexandria database).

Cell: 9.8043 9.8043 3.0347 Å, 90.00 90.00 90.00°
Space group P4/mbm (No. 127)
One atom of each set of equivalent atoms:
Na (0.1777, 0.3223, 0.0000) (multiplicity 4)
B (0.1220, 0.6220, 0.0000) (multiplicity 4)
As (0.0000, 0.0000, 0.0000) (multiplicity 2)
Pd (0.0000, 0.5000, 0.5000) (multiplicity 2)
Pd (0.0687, 0.7755, 0.5000) (multiplicity 8)

ΔH_f (0 K) ... -0.2794 eV/atom

# Na2BAsPd6

Na2BAsPd6 after structural relaxation (GGA-PBE, the Alexandria database).

Cell: 5.8275 5.8292 6.9043 Å, 65.21 65.12 60.12°
Space group P-1 (No. 2)
One atom of each set of equivalent atoms:
Na (0.2159, 0.2176, 0.3488) (multiplicity 2)
B (0.0000, 0.0000, 0.0000) (multiplicity 1)
As (0.5000, 0.5000, 0.5000) (multiplicity 1)
Pd (0.2360, 0.2349, 0.8166) (multiplicity 2)
Pd (0.2376, 0.7113, 0.8172) (multiplicity 2)
Pd (0.2855, 0.7658, 0.1850) (multiplicity 2)

ΔH_f (0 K) ... -0.3026 eV/atom

# NaBAs2Pt

NaBAs2Pt after structural relaxation (GGA-PBE, the Alexandria database).

Cell: 4.6334 4.6334 4.1558 Å, 90.00 90.00 90.00°
Space group P4/mmm (No. 123)
One atom of each set of equivalent atoms:
Na (0.0000, 0.0000, 0.0000) (multiplicity 1)
B (0.5000, 0.5000, 0.5000) (multiplicity 1)
As (0.0000, 0.5000, 0.5000) (multiplicity 2)
Pt (0.5000, 0.5000, 0.0000) (multiplicity 1)

ΔH_f (0 K) ... 0.2564 eV/atom

# NaBAsRh2

NaBAsRh2 after structural relaxation (GGA-PBE, the Alexandria database).

Cell: 4.6019 4.6019 4.0407 Å, 90.00 90.00 90.00°
Space group P4/mmm (No. 123)
One atom of each set of equivalent atoms:
Na (0.0000, 0.0000, 0.0000) (multiplicity 1)
B (0.0000, 0.0000, 0.5000) (multiplicity 1)
As (0.5000, 0.5000, 0.5000) (multiplicity 1)
Rh (0.0000, 0.5000, 0.0000) (multiplicity 2)

ΔH_f (0 K) ... 1.9132 eV/atom

Q: ΔH_f (0 K) of number 3 (NaBAs2Pt)?
A: 0.2564 eV/atom

Q: Look up the ΔH_f (0 K) of the second one.
A: -0.3026 eV/atom